(1)
First-principles (PBE-GGA) data for a relaxed CeTmFeCo crystal, as listed in Alexandria via LeMat-Bulk.

## Properties
energy = -26.1 eV per formula unit
formation energy from the elements = -0.86 kcal/mol of atoms

Unit cell a=4.7061 b=4.7061 c=4.7061 alpha=60.00 beta=60.00 gamma=60.00
Sites, in units of the cell vectors:
Ce 0.0000 0.0000 0.0000
Tm 0.5000 0.5000 0.5000
Fe 0.7500 0.7500 0.7500
Co 0.2500 0.2500 0.2500



(2)
First-principles (PBE-GGA) data for a relaxed CeYFeCo crystal, as listed in Alexandria via LeMat-Bulk.

## Properties
energy = -27.9 eV per formula unit
formation energy from the elements = 0.47 kcal/mol of atoms

Unit cell a=4.7590 b=4.7590 c=4.7590 alpha=60.00 beta=60.00 gamma=60.00
Sites, in units of the cell vectors:
Ce 0.0000 0.0000 0.0000
Y 0.5000 0.5000 0.5000
Fe 0.2500 0.2500 0.2500
Co 0.7500 0.7500 0.7500



(3)
First-principles (PBE-GGA) data for a relaxed Ce2ZnFe2Co5 crystal, as listed in Alexandria via LeMat-Bulk.

## Properties
energy = -65.8 eV per formula unit
formation energy from the elements = -0.48 kcal/mol of atoms

Unit cell a=8.5769 b=8.5769 c=3.8864 alpha=90.00 beta=90.00 gamma=90.00
Sites, in units of the cell vectors:
Ce 0.1877 0.3123 0.0000
Ce 0.3123 0.8123 0.0000
Ce 0.6877 0.1877 0.0000
Ce 0.8123 0.6877 0.0000
Zn 0.0000 0.0000 0.0000
Zn 0.5000 0.5000 0.0000
Fe 0.1207 0.6207 0.0000
Fe 0.3793 0.1207 0.0000
Fe 0.6207 0.8793 0.0000
Fe 0.8793 0.3793 0.0000
Co 0.0000 0.5000 0.5000
Co 0.0560 0.7987 0.5000
Co 0.2013 0.0560 0.5000
Co 0.2987 0.5560 0.5000
Co 0.4440 0.2987 0.5000
Co 0.5000 0.0000 0.5000
Co 0.5560 0.7013 0.5000
Co 0.7013 0.4440 0.5000
Co 0.7987 0.9440 0.5000
Co 0.9440 0.2013 0.5000



(4)
First-principles (PBE-GGA) data for a relaxed Ce2Ga6Co3 crystal, as listed in Alexandria via LeMat-Bulk.

## Properties
energy = -55.3 eV per formula unit
formation energy from the elements = -8.19 kcal/mol of atoms

Unit cell a=7.4576 b=7.4576 c=3.9945 alpha=90.00 beta=90.00 gamma=120.00
Sites, in units of the cell vectors:
Ce 0.3333 0.6667 0.0000
Ce 0.6667 0.3333 0.0000
Ga 0.0000 0.3009 0.5000
Ga 0.0000 0.7987 0.0000
Ga 0.2013 0.2013 0.0000
Ga 0.3009 0.0000 0.5000
Ga 0.6991 0.6991 0.5000
Ga 0.7987 0.0000 0.0000
Co 0.0000 0.6226 0.5000
Co 0.3774 0.3774 0.5000
Co 0.6226 0.0000 0.5000



(5)
First-principles (PBE-GGA) data for a relaxed CeGa9Co2 crystal, as listed in Alexandria via LeMat-Bulk.

## Properties
energy = -50.9 eV per formula unit
energy above the most stable polymorph in this dataset = 0.00 eV per formula unit
formation energy from the elements = -6.82 kcal/mol of atoms

Unit cell a=7.9027 b=7.9027 c=3.8092 alpha=90.00 beta=90.00 gamma=120.00
Sites, in units of the cell vectors:
Ce 0.0000 0.0000 0.0000
Ga 0.0000 0.5000 0.0000
Ga 0.2053 0.4105 0.5000
Ga 0.2053 0.7947 0.5000
Ga 0.4105 0.2053 0.5000
Ga 0.5000 0.0000 0.0000
Ga 0.5000 0.5000 0.0000
Ga 0.5895 0.7947 0.5000
Ga 0.7947 0.2053 0.5000
Ga 0.7947 0.5895 0.5000
Co 0.3333 0.6667 0.0000
Co 0.6667 0.3333 0.0000



(6)
First-principles (PBE-GGA) data for a relaxed Ce5GaCo6 crystal, as listed in Alexandria via LeMat-Bulk.

## Properties
energy = -77.9 eV per formula unit
formation energy from the elements = -4.98 kcal/mol of atoms

Unit cell a=7.7907 b=7.7907 c=4.8697 alpha=102.11 beta=102.11 gamma=123.69
Sites, in units of the cell vectors:
Ce 0.0000 0.0000 0.0000
Ce 0.1824 0.8176 0.5000
Ce 0.3534 0.6466 0.0000
Ce 0.6466 0.3534 0.0000
Ce 0.8176 0.1824 0.5000
Ga 0.5000 0.5000 0.5000
Co 0.1469 0.4609 0.2879
Co 0.1836 0.1836 0.5341
Co 0.4609 0.1469 0.2879
Co 0.5391 0.8531 0.7121
Co 0.8164 0.8164 0.4659
Co 0.8531 0.5391 0.7121



(7)
First-principles (PBE-GGA) data for a relaxed CeGa2Co2 crystal, as listed in Alexandria via LeMat-Bulk.

## Properties
energy = -28.2 eV per formula unit
formation energy from the elements = -9.00 kcal/mol of atoms

Unit cell a=5.1587 b=5.1587 c=4.8844 alpha=106.14 beta=106.14 gamma=41.57
Sites, in units of the cell vectors:
Ce 0.0000 0.0000 0.0000
Ga 0.3471 0.3471 0.4197
Ga 0.6529 0.6529 0.5803
Co 0.2971 0.2971 0.8857
Co 0.7029 0.7029 0.1143



(8)
First-principles (PBE-GGA) data for a relaxed Ce2GaCo4 crystal, as listed in Alexandria via LeMat-Bulk.

## Properties
energy = -43.8 eV per formula unit
formation energy from the elements = -1.71 kcal/mol of atoms

Unit cell a=5.9586 b=5.9586 c=3.4405 alpha=90.00 beta=90.00 gamma=114.38
Sites, in units of the cell vectors:
Ce 0.0000 0.5000 0.0000
Ce 0.5000 0.0000 0.0000
Ga 0.0000 0.0000 0.5000
Co 0.2932 0.2932 0.0000
Co 0.3744 0.6256 0.5000
Co 0.6256 0.3744 0.5000
Co 0.7068 0.7068 0.0000



(9)
First-principles (PBE-GGA) data for a relaxed Ce3Ga7Co2 crystal, as listed in Alexandria via LeMat-Bulk.

## Properties
energy = -57.7 eV per formula unit
formation energy from the elements = -8.67 kcal/mol of atoms

Unit cell a=12.5810 b=12.5810 c=12.5810 alpha=159.30 beta=159.30 gamma=29.43
Sites, in units of the cell vectors:
Ce 0.0000 0.0000 0.0000
Ce 0.1856 0.1856 0.0000
Ce 0.8144 0.8144 0.0000
Ga 0.0954 0.5954 0.5000
Ga 0.3075 0.3075 0.0000
Ga 0.4046 0.9046 0.5000
Ga 0.5000 0.5000 0.0000
Ga 0.5954 0.0954 0.5000
Ga 0.6925 0.6925 0.0000
Ga 0.9046 0.4046 0.5000
Co 0.4060 0.4060 0.0000
Co 0.5940 0.5940 0.0000



(10)
First-principles (PBE-GGA) data for a relaxed CeGa3Co2 crystal, as listed in Alexandria via LeMat-Bulk.

## Properties
energy = -30.5 eV per formula unit
formation energy from the elements = -4.80 kcal/mol of atoms

Unit cell a=7.1082 b=7.1082 c=7.1082 alpha=50.67 beta=50.67 gamma=50.67
Sites, in units of the cell vectors:
Ce 0.2294 0.2294 0.2294
Ce 0.7706 0.7706 0.7706
Ga 0.2500 0.7313 0.7313
Ga 0.2687 0.2687 0.7500
Ga 0.2687 0.7500 0.2687
Ga 0.7313 0.2500 0.7313
Ga 0.7313 0.7313 0.2500
Ga 0.7500 0.2687 0.2687
Co 0.0000 0.0000 0.0000
Co 0.0000 0.5000 0.5000
Co 0.5000 0.0000 0.5000
Co 0.5000 0.5000 0.0000



(11)
First-principles (PBE-GGA) data for a relaxed Ce2Ga5Co3 crystal, as listed in Alexandria via LeMat-Bulk.

## Properties
energy = -53.2 eV per formula unit
formation energy from the elements = -11.15 kcal/mol of atoms

Unit cell a=8.3837 b=8.3837 c=8.3837 alpha=108.28 beta=84.48 gamma=141.49
Sites, in units of the cell vectors:
Ce 0.1445 0.2187 0.3632
Ce 0.3555 0.7187 0.0743
Ce 0.6445 0.2813 0.9257
Ce 0.8555 0.7813 0.6368
Ga 0.0452 0.7500 0.2952
Ga 0.0840 0.6722 0.7563
Ga 0.2500 0.2500 0.0000
Ga 0.4160 0.1722 0.5882
Ga 0.4548 0.7500 0.7048
Ga 0.5452 0.2500 0.2952
Ga 0.5840 0.8278 0.4118
Ga 0.7500 0.7500 0.0000
Ga 0.9160 0.3278 0.2437
Ga 0.9548 0.2500 0.7048
Co 0.1488 0.9052 0.0540
Co 0.2500 0.7500 0.5000
Co 0.3512 0.4052 0.7564
Co 0.6488 0.5948 0.2436
Co 0.7500 0.2500 0.5000
Co 0.8512 0.0948 0.9460



(12)
First-principles (PBE-GGA) data for a relaxed CeGa4Co9 crystal, as listed in Alexandria via LeMat-Bulk.

## Properties
energy = -85.2 eV per formula unit
formation energy from the elements = -5.33 kcal/mol of atoms

Unit cell a=8.1216 b=8.1216 c=8.1216 alpha=121.34 beta=121.34 gamma=87.70
Sites, in units of the cell vectors:
Ce 0.2500 0.2500 0.0000
Ce 0.7500 0.7500 0.0000
Ga 0.0546 0.5546 0.8594
Ga 0.1951 0.0546 0.5000
Ga 0.3049 0.8049 0.8594
Ga 0.4454 0.3049 0.5000
Ga 0.5546 0.6951 0.5000
Ga 0.6951 0.1951 0.1406
Ga 0.8049 0.9454 0.5000
Ga 0.9454 0.4454 0.1406
Co 0.0000 0.5000 0.5000
Co 0.0615 0.1985 0.2600
Co 0.0611 0.7897 0.5000
Co 0.1985 0.9385 0.1370
Co 0.2103 0.7103 0.2714
Co 0.2897 0.5611 0.5000
Co 0.3015 0.4385 0.7400
Co 0.4385 0.6985 0.1370
Co 0.4389 0.9389 0.7286
Co 0.5000 0.0000 0.5000
Co 0.5611 0.0611 0.2714
Co 0.5615 0.3015 0.8630
Co 0.6985 0.5615 0.2600
Co 0.7103 0.4389 0.5000
Co 0.7897 0.2897 0.7286
Co 0.8015 0.0615 0.8630
Co 0.9389 0.2103 0.5000
Co 0.9385 0.8015 0.7400